No. 1
Pa2CoCN5: optimized geometry, PBE.

## Properties
energy	-153.125	eV for the cell shown
raw formation energy	0.4	eV/f.u.
volume	12.07	A^3/atom
M_tot	0.21	μB/atom

Unit cell a=6.6710 b=6.6710 c=4.8818 alpha=90.00 beta=90.00 gamma=90.00
Last column: nearest neighbours and their distance in Å.
Space group P4/mbm (No. 127)
Inequivalent atoms, fractional coordinates:
Pa (0.1875, 0.3125, 0.0000) (multiplicity 4)  8 N 2.27-2.48
Co (0.0000, 0.0000, 0.5000) (multiplicity 2)  2 N 2.44
C (0.0000, 0.5000, 0.5000) (multiplicity 2)  4 N 1.56
N (0.0000, 0.0000, 0.0000) (multiplicity 2)  4 Pa 2.43, 2 Co 2.44
N (0.1177, 0.6177, 0.2746) (multiplicity 8)  1 C 1.56

***

No. 2
Pa4CoCN2: optimized geometry, PBE.

## Properties
energy	-77.663	eV for the cell shown
raw formation energy	-6.7	eV/f.u.
volume	16.61	A^3/atom
M_tot	0.00	μB/atom

Unit cell a=6.1354 b=3.6178 c=6.2243 alpha=90.00 beta=105.87 gamma=90.00
Last column: nearest neighbours and their distance in Å.
Space group P2/m (No. 10)
Inequivalent atoms, fractional coordinates:
Pa (0.2263, 0.0000, 0.2316) (multiplicity 2)  3 N 2.45-2.49, 1 C 2.49, 2 Co 2.71
Pa (0.2513, 0.5000, 0.7528) (multiplicity 2)  3 N 2.46-2.61, 1 Co 2.47, 2 C 2.59
Co (0.5000, 0.5000, 0.5000) (multiplicity 1)  6 Pa 2.47-2.71
C (0.5000, 0.0000, 0.0000) (multiplicity 1)  6 Pa 2.49-2.59
N (0.0000, 0.0000, 0.5000) (multiplicity 1)  6 Pa 2.45-2.61
N (0.0000, 0.5000, 0.0000) (multiplicity 1)  6 Pa 2.46-2.49

***

No. 3
PmCoCN: optimized geometry, PBE.

## Properties
energy	-63.682	eV for the cell shown
raw formation energy	-2.4	eV/f.u.
volume	11.60	A^3/atom
M_tot	0.00	μB/atom

Unit cell a=3.5423 b=3.5423 c=7.3948 alpha=90.00 beta=90.00 gamma=90.00
Last column: nearest neighbours and their distance in Å.
Space group P4/nmm (No. 129, origin choice 2)
Inequivalent atoms, fractional coordinates:
Pm (0.2500, 0.2500, 0.1783) (multiplicity 2)  5 N 2.50-2.51
Co (0.2500, 0.7500, 0.5000) (multiplicity 2)  4 C 2.08
C (0.2500, 0.2500, 0.6480) (multiplicity 2)  1 N 1.42
N (0.2500, 0.2500, 0.8402) (multiplicity 2)  1 C 1.42

***

No. 4
Pm3CoC2N6: optimized geometry, PBE.

## Properties
energy	-96.414	eV for the cell shown
raw formation energy	-6.7	eV/f.u.
volume	12.75	A^3/atom
M_tot	0.17	μB/atom

Unit cell a=5.3030 b=5.3030 c=6.2825 alpha=90.00 beta=90.00 gamma=120.00
Last column: nearest neighbours and their distance in Å.
Space group P-3m1 (No. 164)
Inequivalent atoms, fractional coordinates:
Pm (0.0000, 0.0000, 0.0000) (multiplicity 1)  6 N 2.41
Pm (0.3333, 0.6667, 0.6623) (multiplicity 2)  1 C 2.51, 9 N 2.69-2.80
Co (0.0000, 0.0000, 0.5000) (multiplicity 1)  6 N 2.21
C (0.3333, 0.6667, 0.2620) (multiplicity 2)  3 N 1.37
N (0.1847, 0.3693, 0.2733) (multiplicity 6)  1 C 1.37

***

No. 5
PrCoC6N6: optimized geometry, PBE.

## Properties
energy	-235.961	eV for the cell shown
raw formation energy	-0.8	eV/f.u.
volume	24.04	A^3/atom
M_tot	0.01	μB/atom

Unit cell a=7.6568 b=7.6568 c=13.2601 alpha=90.00 beta=90.00 gamma=120.00
Last column: nearest neighbours and their distance in Å.
Space group P6_3/mmc (No. 194)
Inequivalent atoms, fractional coordinates:
Pr (0.3333, 0.6667, 0.2500) (multiplicity 2)  6 N 2.49
Co (0.0000, 0.0000, 0.0000) (multiplicity 2)  6 C 1.87
C (0.1148, 0.2297, 0.0815) (multiplicity 12)  1 N 1.17
N (0.1864, 0.3728, 0.1333) (multiplicity 12)  1 C 1.17

***

No. 6
PuCoCN: optimized geometry, PBE.

## Properties
energy	-81.900	eV for the cell shown
raw formation energy	-2.0	eV/f.u.
volume	11.11	A^3/atom
M_tot	1.23	μB/atom

Unit cell a=3.4869 b=3.4869 c=7.3102 alpha=90.00 beta=90.00 gamma=90.00
Last column: nearest neighbours and their distance in Å.
Space group P4/nmm (No. 129, origin choice 2)
Inequivalent atoms, fractional coordinates:
Pu (0.2500, 0.2500, 0.1720) (multiplicity 2)  5 N 2.39-2.47
Co (0.2500, 0.7500, 0.5000) (multiplicity 2)  4 C 2.05
C (0.2500, 0.2500, 0.6483) (multiplicity 2)  1 N 1.44
N (0.2500, 0.2500, 0.8454) (multiplicity 2)  1 C 1.44

***

No. 7
Co2CSN: optimized geometry, PBE.

## Properties
energy	-25.787	eV for the cell shown
raw formation energy	10.1	eV/f.u.
volume	12.08	A^3/atom
M_tot	0.72	μB/atom

Unit cell a=4.1878 b=4.1878 c=3.4439 alpha=90.00 beta=90.00 gamma=90.00
Last column: nearest neighbours and their distance in Å.
Space group P4/mmm (No. 123)
Inequivalent atoms, fractional coordinates:
Co (0.0000, 0.5000, 0.0000) (multiplicity 2)  2 S 2.09
C (0.0000, 0.0000, 0.5000) (multiplicity 1)  2 S 1.72
S (0.0000, 0.0000, 0.0000) (multiplicity 1)  2 C 1.72
N (0.5000, 0.5000, 0.5000) (multiplicity 1)  8 Co 2.71, 4 C 2.96

***

No. 8
CoCSN2: optimized geometry, PBE.

## Properties
energy	-26.272	eV for the cell shown
E above lowest polymorph	116	meV/atom
raw formation energy	10.8	eV/f.u.
volume	8.99	A^3/atom
M_tot	0.11	μB/atom

Unit cell a=3.3607 b=3.3607 c=3.9781 alpha=90.00 beta=90.00 gamma=90.00
Last column: nearest neighbours and their distance in Å.
Space group P4/mmm (No. 123)
Inequivalent atoms, fractional coordinates:
Co (0.0000, 0.0000, 0.0000) (multiplicity 1)  4 S 2.38, 8 N 2.60
C (0.5000, 0.5000, 0.5000) (multiplicity 1)  4 N 1.68
S (0.5000, 0.5000, 0.0000) (multiplicity 1)  2 C 1.99
N (0.0000, 0.5000, 0.5000) (multiplicity 2)  2 C 1.68

***

No. 9
CoCSN2: optimized geometry, PBE.

## Properties
energy	-26.850	eV for the cell shown
E above lowest polymorph	0	meV/atom
raw formation energy	10.3	eV/f.u.
volume	16.23	A^3/atom
M_tot	0.10	μB/atom

Unit cell a=3.3484 b=3.3484 c=7.2398 alpha=90.00 beta=90.00 gamma=90.00
Last column: nearest neighbours and their distance in Å.
Space group P4/mmm (No. 123)
Inequivalent atoms, fractional coordinates:
Co (0.0000, 0.0000, 0.0000) (multiplicity 1)  4 N 1.67
C (0.5000, 0.5000, 0.5000) (multiplicity 1)  4 S 2.37
S (0.0000, 0.0000, 0.5000) (multiplicity 1)  4 C 2.37
N (0.0000, 0.5000, 0.0000) (multiplicity 2)  2 Co 1.67

***

No. 10
CoSb2CN: optimized geometry, PBE.

## Properties
energy	-26.645	eV for the cell shown
raw formation energy	6.3	eV/f.u.
volume	17.01	A^3/atom
M_tot	0.00	μB/atom

Unit cell a=5.0532 b=5.0532 c=3.3304 alpha=90.00 beta=90.00 gamma=90.00
Last column: nearest neighbours and their distance in Å.
Space group P4/mmm (No. 123)
Inequivalent atoms, fractional coordinates:
Co (0.0000, 0.0000, 0.0000) (multiplicity 1)  2 N 1.67
Sb (0.0000, 0.5000, 0.0000) (multiplicity 2)  2 Co 2.53
C (0.5000, 0.5000, 0.5000) (multiplicity 1)  8 Sb 3.03, 2 C 3.33
N (0.0000, 0.0000, 0.5000) (multiplicity 1)  2 Co 1.67

***

No. 11
CoCSeN: optimized geometry, PBE.

## Properties
energy	-26.413	eV for the cell shown
E above lowest polymorph	145	meV/atom
raw formation energy	1.7	eV/f.u.
volume	16.52	A^3/atom
M_tot	0.13	μB/atom

Unit cell a=2.4075 b=4.2825 c=6.8183 alpha=100.61 beta=91.69 gamma=106.29
Last column: nearest neighbours and their distance in Å.
Space group P1 (No. 1)
Inequivalent atoms, fractional coordinates:
Co (0.0000, 0.0000, 0.0000) (multiplicity 1)  1 C 1.82, 1 N 1.91
C (0.2315, 0.4466, 0.0987) (multiplicity 1)  2 N 1.40
Se (0.0291, 0.1097, 0.6857) (multiplicity 1)  1 Co 2.28, 2 Se 2.41
N (0.8214, 0.6225, 0.1245) (multiplicity 1)  2 C 1.40

***

No. 12
CoCSeN: optimized geometry, PBE.

## Properties
energy	-26.992	eV for the cell shown
E above lowest polymorph	0	meV/atom
raw formation energy	1.1	eV/f.u.
volume	16.40	A^3/atom
M_tot	0.00	μB/atom

Unit cell a=3.2935 b=3.5883 c=6.4260 alpha=101.61 beta=90.75 gamma=117.32
Last column: nearest neighbours and their distance in Å.
Space group P1 (No. 1)
Inequivalent atoms, fractional coordinates:
Co (0.0000, 0.0000, 0.0000) (multiplicity 1)  1 C 1.81
C (0.7861, 0.5650, 0.1371) (multiplicity 1)  1 N 1.21
Se (0.2805, 0.5716, 0.7940) (multiplicity 1)  3 Co 2.34-2.49
N (0.6387, 0.2657, 0.2221) (multiplicity 1)  1 C 1.21

***

No. 13
CoCSeN: optimized geometry, PBE.

## Properties
energy	-51.315	eV for the cell shown
E above lowest polymorph	334	meV/atom
raw formation energy	2.5	eV/f.u.
volume	14.37	A^3/atom
M_tot	0.10	μB/atom

Unit cell a=6.9513 b=3.4449 c=5.6856 alpha=90.00 beta=122.41 gamma=90.00
Last column: nearest neighbours and their distance in Å.
Space group Cm (No. 8)
Inequivalent atoms, fractional coordinates:
Co (0.0000, 0.0000, 0.0000) (multiplicity 2)  1 C 1.93, 1 N 1.95
C (0.1603, 0.0000, 0.4018) (multiplicity 2)  1 N 1.23
Se (0.2394, 0.0000, 0.8006) (multiplicity 2)  1 C 2.03
N (0.3031, 0.0000, 0.3376) (multiplicity 2)  1 C 1.23

***

No. 14
Sm2CoC2N6: optimized geometry, PBE.

## Properties
energy	-266.585	eV for the cell shown
raw formation energy	-3.9	eV/f.u.
volume	10.26	A^3/atom
M_tot	0.10	μB/atom

Unit cell a=5.0622 b=5.0622 c=15.2509 alpha=90.00 beta=90.00 gamma=120.00
Last column: nearest neighbours and their distance in Å.
Space group R-3m (No. 166, hexagonal axes)
Inequivalent atoms, fractional coordinates:
Sm (0.0000, 0.0000, 0.2192) (multiplicity 6)  9 N 2.58-2.61
Co (0.0000, 0.0000, 0.0000) (multiplicity 3)  6 N 1.99
C (0.0000, 0.0000, 0.4090) (multiplicity 6)  3 N 1.37
N (0.0222, 0.5111, 0.2517) (multiplicity 18)  1 C 1.37

***

No. 15
SmCoCN: optimized geometry, PBE.

## Properties
energy	-63.771	eV for the cell shown
raw formation energy	-2.5	eV/f.u.
volume	11.45	A^3/atom
M_tot	0.00	μB/atom

Unit cell a=3.5244 b=3.5244 c=7.3734 alpha=90.00 beta=90.00 gamma=90.00
Last column: nearest neighbours and their distance in Å.
Space group P4/nmm (No. 129, origin choice 2)
Inequivalent atoms, fractional coordinates:
Sm (0.2500, 0.2500, 0.1777) (multiplicity 2)  5 N 2.48-2.50
Co (0.2500, 0.7500, 0.5000) (multiplicity 2)  4 C 2.08
C (0.2500, 0.2500, 0.6486) (multiplicity 2)  1 N 1.42
N (0.2500, 0.2500, 0.8418) (multiplicity 2)  1 C 1.42

***

No. 16
Sr3CoC3N3: optimized geometry, PBE.

## Properties
energy	-141.911	eV for the cell shown
raw formation energy	-6.2	eV/f.u.
volume	17.96	A^3/atom
M_tot	0.00	μB/atom

Unit cell a=8.7381 b=8.7381 c=5.4315 alpha=90.00 beta=90.00 gamma=120.00
Last column: nearest neighbours and their distance in Å.
Space group P6_3/m (No. 176)
Inequivalent atoms, fractional coordinates:
Sr (0.0658, 0.3737, 0.2500) (multiplicity 6)  3 N 2.56-2.78, 3 C 2.81-2.82
Co (0.3333, 0.6667, 0.7500) (multiplicity 2)  3 C 1.76
C (0.1480, 0.4524, 0.7500) (multiplicity 6)  1 N 1.25
N (0.0213, 0.2981, 0.7500) (multiplicity 6)  1 C 1.25

***

No. 17
Sr3CoC2N6: optimized geometry, PBE.

## Properties
energy	-83.369	eV for the cell shown
raw formation energy	-2.8	eV/f.u.
volume	13.73	A^3/atom
M_tot	0.31	μB/atom

Unit cell a=5.4191 b=5.4191 c=6.4778 alpha=90.00 beta=90.00 gamma=120.00
Last column: nearest neighbours and their distance in Å.
Space group P-3m1 (No. 164)
Inequivalent atoms, fractional coordinates:
Sr (0.0000, 0.0000, 0.0000) (multiplicity 1)  6 N 2.57
Sr (0.3333, 0.6667, 0.6822) (multiplicity 2)  1 C 2.57, 6 N 2.72
Co (0.0000, 0.0000, 0.5000) (multiplicity 1)  6 N 2.23
C (0.3333, 0.6667, 0.2850) (multiplicity 2)  3 N 1.37
N (0.1878, 0.3757, 0.2883) (multiplicity 6)  1 C 1.37

***

No. 18
Sr6CoC2N7: optimized geometry, PBE.

## Properties
energy	-210.428	eV for the cell shown
raw formation energy	-11.3	eV/f.u.
volume	17.74	A^3/atom
M_tot	0.13	μB/atom

Unit cell a=9.9068 b=14.7512 c=3.8836 alpha=90.00 beta=90.00 gamma=90.00
Last column: nearest neighbours and their distance in Å.
Space group P2_12_12 (No. 18)
Inequivalent atoms, fractional coordinates:
Sr (0.0712, 0.1101, 0.0592) (multiplicity 4)  5 N 2.61-2.74
Sr (0.0923, 0.6617, 0.5057) (multiplicity 4)  3 N 2.53-2.72, 1 C 2.76
Sr (0.2463, 0.9415, 0.5622) (multiplicity 4)  4 N 2.59-2.82, 1 C 2.82
Co (0.0000, 0.5000, 0.9762) (multiplicity 2)  2 N 1.81
C (0.2294, 0.2789, 0.8122) (multiplicity 4)  2 N 1.24
N (0.0000, 0.0000, 0.5660) (multiplicity 2)  6 Sr 2.59-2.65
N (0.1350, 0.2501, 0.6330) (multiplicity 4)  1 C 1.24
N (0.1656, 0.5525, 0.9715) (multiplicity 4)  1 Co 1.81
N (0.1683, 0.8064, 0.0347) (multiplicity 4)  1 C 1.24

***

No. 19
TbCoCN: optimized geometry, PBE.

## Properties
energy	-64.188	eV for the cell shown
raw formation energy	-2.8	eV/f.u.
volume	10.96	A^3/atom
M_tot	0.00	μB/atom

Unit cell a=3.4659 b=3.4659 c=7.2970 alpha=90.00 beta=90.00 gamma=90.00
Last column: nearest neighbours and their distance in Å.
Space group P4/nmm (No. 129, origin choice 2)
Inequivalent atoms, fractional coordinates:
Tb (0.2500, 0.2500, 0.1757) (multiplicity 2)  5 N 2.40-2.46
Co (0.2500, 0.7500, 0.5000) (multiplicity 2)  4 C 2.05
C (0.2500, 0.2500, 0.6508) (multiplicity 2)  1 N 1.43
N (0.2500, 0.2500, 0.8471) (multiplicity 2)  1 C 1.43

***

No. 20
CoTe2CN: optimized geometry, PBE.

## Properties
energy	-23.942	eV for the cell shown
E above lowest polymorph	227	meV/atom
raw formation energy	7.0	eV/f.u.
volume	17.58	A^3/atom
M_tot	0.00	μB/atom

Unit cell a=5.1235 b=5.1235 c=3.3479 alpha=90.00 beta=90.00 gamma=90.00
Last column: nearest neighbours and their distance in Å.
Space group P4/mmm (No. 123)
Inequivalent atoms, fractional coordinates:
Co (0.0000, 0.0000, 0.0000) (multiplicity 1)  2 N 1.67
Te (0.0000, 0.5000, 0.0000) (multiplicity 2)  2 Co 2.56
C (0.5000, 0.5000, 0.5000) (multiplicity 1)  8 Te 3.06, 2 C 3.35
N (0.0000, 0.0000, 0.5000) (multiplicity 1)  2 Co 1.67

***

No. 21
CoTe2CN: optimized geometry, PBE.

## Properties
energy	-25.076	eV for the cell shown
E above lowest polymorph	0	meV/atom
raw formation energy	5.9	eV/f.u.
volume	19.26	A^3/atom
M_tot	0.42	μB/atom

Unit cell a=6.0762 b=6.0762 c=2.6084 alpha=90.00 beta=90.00 gamma=90.00
Last column: nearest neighbours and their distance in Å.
Space group P4/mmm (No. 123)
Inequivalent atoms, fractional coordinates:
Co (0.0000, 0.0000, 0.0000) (multiplicity 1)  2 Co 2.61
Te (0.0000, 0.5000, 0.5000) (multiplicity 2)  2 Te 2.61
C (0.5000, 0.5000, 0.5000) (multiplicity 1)  2 N 1.30
N (0.5000, 0.5000, 0.0000) (multiplicity 1)  2 C 1.30

***

No. 22
Th6CoC3N2: optimized geometry, PBE.

## Properties
energy	-207.876	eV for the cell shown
raw formation energy	-8.0	eV/f.u.
volume	19.00	A^3/atom
M_tot	0.00	μB/atom

Unit cell a=16.3994 b=3.7492 c=7.6218 alpha=90.00 beta=103.28 gamma=90.00
Last column: nearest neighbours and their distance in Å.
Space group C2/m (No. 12)
Inequivalent atoms, fractional coordinates:
Th (0.0010, 0.0000, 0.2642) (multiplicity 4)  3 C 2.60-2.78, 1 N 2.69, 2 Co 2.75
Th (0.1699, 0.5000, 0.5824) (multiplicity 4)  3 N 2.56-2.63, 3 C 2.65-2.71
Th (0.1708, 0.5000, 0.0852) (multiplicity 4)  3 C 2.49-2.71, 2 N 2.71, 1 Co 2.73
Co (0.0000, 0.5000, 0.0000) (multiplicity 2)  6 Th 2.73-2.75
C (0.0000, 0.5000, 0.5000) (multiplicity 2)  6 Th 2.60-2.71
C (0.1730, 0.0000, 0.8293) (multiplicity 4)  6 Th 2.49-2.78
N (0.1697, 0.0000, 0.3410) (multiplicity 4)  6 Th 2.56-2.71